Record 1
{"formula": "BaCe2As3", "functional": "GGA-PBE", "state": "relaxed", "space_group": "Immm (71)", "e_form_mev_per_atom": -1253, "dos_at_fermi_per_ev_atom": 1.317, "lattice": [[6.2485, 0.0000, 0.0000], [-3.1243, 6.6443, -2.1634], [0.0000, -0.0142, 8.6971]], "species": ["Ba", "Ba", "Ce", "Ce", "Ce", "Ce", "As", "As", "As", "As", "As", "As"], "frac_coords": [[0.0000, 0.0000, 0.2500], [0.0000, 0.0000, 0.7500], [0.3358, 0.6712, 0.4178], [0.3355, 0.6712, 0.9178], [0.6645, 0.3288, 0.0822], [0.6642, 0.3288, 0.5822], [0.4998, 0.0000, 0.7500], [0.5002, 0.0000, 0.2500], [0.8116, 0.6228, 0.9057], [0.1888, 0.3772, 0.5943], [0.8112, 0.6228, 0.4057], [0.1884, 0.3772, 0.0943]]}

Record 2
{"formula": "BaCeInAs3", "functional": "GGA-PBE", "state": "relaxed", "space_group": "P2_1/m (11)", "e_form_mev_per_atom": -873, "lattice": [[-0.6048, 0.9280, -4.2184], [-5.3423, -6.7804, -0.7256], [-5.9206, 7.6852, 2.5395]], "species": ["Ba", "Ba", "Ce", "Ce", "In", "In", "As", "As", "As", "As", "As", "As"], "frac_coords": [[0.2500, 0.2267, 0.2465], [0.7500, 0.7733, 0.7535], [0.2500, 0.6847, 0.1337], [0.7500, 0.3153, 0.8663], [0.2500, 0.0935, 0.6149], [0.7500, 0.9065, 0.3851], [0.7500, 0.9189, 0.1252], [0.2500, 0.0811, 0.8748], [0.2500, 0.7625, 0.4634], [0.7500, 0.2375, 0.5366], [0.7500, 0.4728, 0.1564], [0.2500, 0.5272, 0.8436]]}

Record 3
{"formula": "Ba3LaCe2As6", "functional": "GGA-PBE", "state": "relaxed", "space_group": "C2/m (12)", "e_form_mev_per_atom": -1225, "dos_at_fermi_per_ev_atom": 1.280, "lattice": [[-0.0309, -4.4100, -6.3399], [-4.4825, -1.8436, 6.0127], [-4.0180, 6.2251, -2.7413]], "species": ["Ba", "Ba", "Ba", "La", "Ce", "Ce", "As", "As", "As", "As", "As", "As"], "frac_coords": [[0.1647, 0.8353, 0.5000], [0.8353, 0.1647, 0.5000], [0.5000, 0.5000, 0.5000], [0.0000, 0.0000, 0.0000], [0.3329, 0.6671, 0.0000], [0.6671, 0.3329, 0.0000], [0.9300, 0.5857, 0.7906], [0.7250, 0.7250, 0.2085], [0.0700, 0.4143, 0.2094], [0.5857, 0.9300, 0.7906], [0.2750, 0.2750, 0.7915], [0.4143, 0.0700, 0.2094]]}

Record 4
{"formula": "Ba2CeMg2As4", "functional": "GGA-PBE", "state": "relaxed", "space_group": "C2/m (12)", "e_form_mev_per_atom": -1073, "dos_at_fermi_per_ev_atom": 0.085, "lattice": [[-1.3926, -1.5632, -3.8592], [1.5320, -7.2079, 2.3669], [-6.8043, 2.6251, 3.8894]], "species": ["Ba", "Ba", "Ce", "Mg", "Mg", "As", "As", "As", "As"], "frac_coords": [[0.1319, 0.5637, 0.2638], [0.8681, 0.4363, 0.7362], [0.0000, 0.0000, 0.0000], [0.6755, 0.9929, 0.3511], [0.3245, 0.0071, 0.6489], [0.2039, 0.1953, 0.4077], [0.7961, 0.8047, 0.5923], [0.5130, 0.7547, 0.0261], [0.4870, 0.2453, 0.9739]]}

Record 5
{"formula": "Ba3Ce2NpAs6", "functional": "GGA-PBE", "state": "relaxed", "space_group": "C2/m (12)", "e_form_mev_per_atom": -1106, "dos_at_fermi_per_ev_atom": 1.494, "lattice": [[7.6137, -0.0016, 0.0004], [-3.8064, 6.5939, 0.0004], [-1.2695, -2.1981, 7.4374]], "species": ["Ba", "Ba", "Ba", "Ce", "Ce", "Np", "As", "As", "As", "As", "As", "As"], "frac_coords": [[0.1679, 0.8321, 0.5000], [0.8321, 0.1679, 0.5000], [0.5000, 0.5000, 0.5000], [0.3336, 0.6664, 0.0000], [0.6664, 0.3336, 0.0000], [0.0000, 0.0000, 0.0000], [0.9325, 0.6059, 0.7971], [0.7416, 0.7416, 0.2036], [0.0675, 0.3941, 0.2029], [0.6059, 0.9325, 0.7971], [0.2584, 0.2584, 0.7964], [0.3941, 0.0675, 0.2029]]}

Record 6
{"formula": "Ba2Ce4As3O2", "functional": "GGA-PBE", "state": "relaxed", "formation_energy_uncorrected_mev_per_atom": -1731.8, "space_group": "I4/mmm (139)", "dos_at_fermi_per_ev_atom": 1.965, "lattice": [[4.7468, 0.0000, 0.0000], [0.0000, 4.7468, 0.0000], [-2.3734, -2.3734, 12.7621]], "species": ["Ba", "Ba", "Ce", "Ce", "Ce", "Ce", "As", "As", "As", "O", "O"], "frac_coords": [[0.3011, 0.3011, 0.6021], [0.6989, 0.6989, 0.3979], [0.4234, 0.9234, 0.8468], [0.9234, 0.4234, 0.8468], [0.0766, 0.5766, 0.1532], [0.5766, 0.0766, 0.1532], [0.0000, 0.0000, 0.0000], [0.1617, 0.1617, 0.3233], [0.8383, 0.8383, 0.6767], [0.4103, 0.4103, 0.8206], [0.5897, 0.5897, 0.1794]]}

Record 7
{"formula": "BaCeAs2O8", "functional": "GGA-PBE", "state": "relaxed", "formation_energy_uncorrected_mev_per_atom": -2142.4, "space_group": "P-3 (147)", "lattice": [[-3.3487, -1.6883, 4.2230], [3.8834, -3.5198, -2.1045], [5.2423, 2.6620, 5.2212]], "species": ["Ba", "Ce", "As", "As", "O", "O", "O", "O", "O", "O", "O", "O"], "frac_coords": [[0.0000, 0.0000, 0.0000], [0.0000, 0.0000, 0.5000], [0.6667, 0.3333, 0.2347], [0.3333, 0.6667, 0.7653], [0.3333, 0.6667, 0.9795], [0.3402, 0.2168, 0.3125], [0.7832, 0.1234, 0.3125], [0.6667, 0.3333, 0.0205], [0.2168, 0.8766, 0.6875], [0.6598, 0.7832, 0.6875], [0.1234, 0.3402, 0.6875], [0.8766, 0.6598, 0.3125]]}

Record 8
{"formula": "BaCeAsO6", "functional": "GGA-PBE", "state": "relaxed", "formation_energy_uncorrected_mev_per_atom": -2129.1, "space_group": "P312 (149)", "dos_at_fermi_per_ev_atom": 0.810, "lattice": [[-3.6855, -0.8227, -4.0897], [-1.6234, -5.1668, -1.2864], [-4.2397, 0.4012, 3.7397]], "species": ["Ba", "Ce", "As", "O", "O", "O", "O", "O", "O"], "frac_coords": [[0.0000, 0.0000, 0.0000], [0.6666, 0.6667, 0.5000], [0.3333, 0.3334, 0.5000], [0.0504, 0.3516, 0.3095], [0.3516, 0.0505, 0.6905], [0.5979, 0.3516, 0.6905], [0.0504, 0.5980, 0.6904], [0.3516, 0.5980, 0.3095], [0.5980, 0.0504, 0.3095]]}

The evaluated total magnetization for the records listed, in turn: 2.09, 0.00, 0.00, 0.12, 3.21, 3.87, 0.00, 1.07 Bohr magnetons per cell.